1.
Density functional theory data (GGA-PBEsol) for Sn3CN after structural relaxation.

Unit cell a=4.625 b=4.625 c=4.625 alpha=90.00 beta=90.00 gamma=90.00
Fractional positions:
Sn1 0.000 0.000 0.500
Sn2 0.000 0.500 0.000
Sn3 0.500 0.000 0.000
C1 0.000 0.000 0.000
N1 0.500 0.500 0.500

Output
V ... 98.9 Å³/cell
VASP energy ... -4.606 eV/atom

---

2.
Density functional theory data (GGA-PBEsol) for CrPbCl2 after structural relaxation.

Unit cell a=10.932 b=3.309 c=5.478 alpha=90.00 beta=114.32 gamma=90.00
Fractional positions:
Cr1 0.000 0.000 0.000
Cr2 0.500 0.500 0.000
Pb1 0.241 0.500 0.480
Pb2 0.741 0.000 0.480
Cl1 0.081 0.500 0.795
Cl2 0.385 0.000 0.132
Cl3 0.581 0.000 0.795
Cl4 0.885 0.500 0.132

Output
E above lowest polymorph ... 0.046 eV/atom
V ... 180.5 Å³/cell

---

3.
Density functional theory data (GGA-PBEsol) for MgSiOs2 after structural relaxation.

Unit cell a=2.959 b=4.164 c=9.034 alpha=90.00 beta=90.00 gamma=90.00
Fractional positions:
Mg1 0.000 0.000 0.000
Mg2 0.500 0.500 0.500
Si1 0.000 0.500 0.232
Si2 0.500 0.000 0.732
Os1 0.000 0.000 0.514
Os2 0.000 0.500 0.768
Os3 0.500 0.000 0.268
Os4 0.500 0.500 0.014

Output
V ... 111.3 Å³/cell
VASP energy ... -7.930 eV/atom

---

4.
Density functional theory data (GGA-PBEsol) for FeTc2BPt after structural relaxation.

Unit cell a=4.660 b=4.660 c=4.542 alpha=90.00 beta=90.00 gamma=90.00
Fractional positions:
Fe1 0.000 0.000 0.000
Tc1 0.000 0.500 0.500
Tc2 0.500 0.000 0.500
B1 0.500 0.500 0.000
Pt1 0.000 0.000 0.500

Output
Calculated formation energy ... 2.635 eV/atom
V ... 98.6 Å³/cell